[1]
First-principles (PBE) data for a relaxed NpHgSbAu crystal, as listed in Alexandria via LeMat-Bulk.

Summary:
Volume (Å³ per cell): 95.8
Space-group type: F-43m (216)
Formation energy from raw total energies (eV per atom): -0.019

abc: 5.1369 5.1369 5.1369
angles: 60.00 60.00 60.00
Atoms (fractional coordinates):
1 Np 0.0000 0.0000 0.0000
2 Hg 0.5000 0.5000 0.5000
3 Sb 0.2500 0.2500 0.2500
4 Au 0.7500 0.7500 0.7500

[2]
First-principles (PBE) data for a relaxed Na3Pm2TiTe6 crystal, as listed in Alexandria via LeMat-Bulk.

Summary:
Volume (Å³ per cell): 377.7
Space-group type: C2/m (12)
Formation energy from raw total energies (eV per atom): -1.110

abc: 7.5933 7.5933 7.9829
angles: 99.18 99.18 120.02
Atoms (fractional coordinates):
1 Na 0.0000 0.0000 0.0000
2 Na 0.3256 0.6744 0.0000
3 Na 0.6744 0.3256 0.0000
4 Pm 0.1662 0.8338 0.5000
5 Pm 0.8338 0.1662 0.5000
6 Ti 0.5000 0.5000 0.5000
7 Te 0.1145 0.4235 0.2708
8 Te 0.2699 0.2699 0.7280
9 Te 0.4235 0.1145 0.2708
10 Te 0.5765 0.8855 0.7292
11 Te 0.7301 0.7301 0.2720
12 Te 0.8855 0.5765 0.7292

[3]
First-principles (PBE) data for a relaxed SrLiAs2S crystal, as listed in Alexandria via LeMat-Bulk.

Summary:
Volume (Å³ per cell): 183.5
Space-group type: P4/mmm (123)
Formation energy from raw total energies (eV per atom): 0.428

abc: 5.7597 5.7597 5.5307
angles: 90.00 90.00 90.00
Atoms (fractional coordinates):
1 Sr 0.0000 0.0000 0.0000
2 Li 0.5000 0.5000 0.5000
3 As 0.0000 0.5000 0.0000
4 As 0.5000 0.0000 0.0000
5 S 0.0000 0.0000 0.5000

Values for E, eV/atom, ordered as above
-5.179 -4.461 -2.977